Computed, not measured: a relaxed structure of BeVO3 at the PBE with a Hubbard U level of DFT.

Unit cell a=4.722 b=4.722 c=4.374 alpha=90.00 beta=90.00 gamma=120.00
Positions (direct):
Be 0.000 0.000 0.250
Be 0.000 0.000 0.750
V 0.333 0.667 0.250
V 0.667 0.333 0.750
O 0.000 0.309 0.500
O 0.000 0.691 0.000
O 0.309 0.000 0.500
O 0.309 0.309 0.000
O 0.691 0.000 0.000
O 0.691 0.691 0.500

Results
The value obtained for the total magnetization is 0.2000 μB per atom. The calculation puts the final energy at -72.06 eV per cell. The volume is 8.45 A^3/atom.